[1]
The following is a PBE-GGA calculation of a geometry-optimized Pm3Nd4Co4 structure, from Alexandria.

Output
Calculated density (g/cm³): 7.7
DFT formation energy (eV/f.u.): 0.61
Size of the total moment (μB per formula unit): 0.73

Lattice parameters (Å, degrees): 3.720 9.110 9.349 119.16 101.48 90.00
Each line ends with the local moment (μB).
Element x y z (fractional)
Pm 0.103 0.103 0.205  -0.04
Nd 0.336 0.151 0.671  -0.01
Nd 0.664 0.479 0.329  -0.01
Co 0.749 0.249 0.498  -0.04
Nd 0.664 0.849 0.329  -0.01
Nd 0.336 0.521 0.671  -0.01
Co 0.251 0.751 0.502  -0.04
Pm 0.000 0.500 0.000  -0.06
Pm 0.897 0.897 0.795  -0.04
Co 0.500 0.219 0.000  0.60
Co 0.500 0.781 0.000  0.60



[2]
The following is a PBE-GGA calculation of a geometry-optimized Cs3VSe3 structure, from Alexandria.

Output
Calculated density (g/cm³): 4.1
ΔE_f (raw) (kJ per mole of atoms): -98.5
Size of the total moment (μB per formula unit): 1.00

Lattice parameters (Å, degrees): 8.726 9.088 14.350 90.00 90.00 100.78
Each line ends with the local moment (μB).
Element x y z (fractional)
Cs 0.378 0.979 0.853  0.00
Se 0.480 0.616 0.612  -0.02
Cs 0.254 0.609 0.063  0.00
Cs 0.878 0.479 0.647  0.00
Se 0.145 0.263 0.540  -0.02
Se 0.537 0.203 0.646  -0.02
Cs 0.246 0.891 0.563  0.00
Cs 0.216 0.089 0.301  0.00
Cs 0.784 0.911 0.699  0.00
V 0.919 0.865 0.954  0.92
V 0.581 0.635 0.454  0.92
Se 0.463 0.797 0.354  -0.02
Se 0.980 0.116 0.888  -0.02
Se 0.355 0.237 0.040  -0.02
Se 0.520 0.384 0.388  -0.02
Cs 0.284 0.411 0.801  0.00
Se 0.037 0.703 0.854  -0.02
Se 0.963 0.297 0.146  -0.02
V 0.419 0.365 0.546  0.92
Se 0.020 0.884 0.112  -0.02
Se 0.855 0.737 0.460  -0.02
Se 0.645 0.763 0.960  -0.02
Cs 0.716 0.589 0.199  0.00
Cs 0.754 0.109 0.437  0.00
Cs 0.622 0.021 0.147  0.00
Cs 0.122 0.521 0.353  0.00
V 0.081 0.135 0.046  0.92
Cs 0.746 0.391 0.937  0.00



[3]
The following is a PBE-GGA calculation of a geometry-optimized NdSmDyMg structure, from Alexandria.

Output
Calculated density (g/cm³): 6.5
Offset from the most stable computed form (meV per atom): 61.3
DFT formation energy (eV/f.u.): 0.12
Size of the total moment (μB per formula unit): 0.00

Lattice parameters (Å, degrees): 5.591 5.591 5.591 60.00 60.00 60.00
Element x y z (fractional)
Nd 0.750 0.750 0.750
Mg 0.000 0.000 0.000
Dy 0.500 0.500 0.500
Sm 0.250 0.250 0.250



[4]
The following is a PBE-GGA calculation of a geometry-optimized AcAlSb4 structure, from Alexandria.

Output
Calculated density (g/cm³): 6.8
ΔE_f (raw) (kJ per mole of atoms): -7.5
Size of the total moment (μB per formula unit): 0.00

Lattice parameters (Å, degrees): 6.342 6.342 6.342 60.00 60.00 60.00
Element x y z (fractional)
Al 0.000 0.000 0.000
Sb 0.628 0.628 0.628
Sb 0.628 0.117 0.628
Ac 0.250 0.250 0.250
Sb 0.628 0.628 0.117
Sb 0.117 0.628 0.628



[5]
The following is a PBE-GGA calculation of a geometry-optimized VCo2Ni structure, from Alexandria.

Output
Calculated density (g/cm³): 8.6
DFT formation energy (eV/f.u.): -0.75
Size of the total moment (μB per formula unit): 0.82

Lattice parameters (Å, degrees): 3.453 3.575 3.575 90.00 90.00 90.00
Each line ends with the local moment (μB).
Element x y z (fractional)
Ni 0.500 0.000 0.000  0.21
Co 0.000 0.000 0.500  0.58
Co 0.000 0.500 0.000  0.58
V 0.500 0.500 0.500  -0.46



[6]
The following is a PBE-GGA calculation of a geometry-optimized Y2AsBr structure, from Alexandria.

Output
Calculated density (g/cm³): 4.1
ΔE_f (raw) (kJ per mole of atoms): -83.0
Size of the total moment (μB per formula unit): 0.00

Lattice parameters (Å, degrees): 6.471 6.471 7.924 65.90 65.90 90.00
Element x y z (fractional)
Y 0.603 0.125 0.250
As 0.500 0.500 0.000
Y 0.147 0.625 0.250
Br 0.750 0.250 0.500
Y 0.875 0.853 0.750
As 0.250 0.750 0.500
Y 0.375 0.397 0.750
Br 0.000 0.000 0.000